# Hg5Os3 (PBE, optimized geometry)
data_Hg5Os3
_symmetry_space_group_name_H-M 'C m m m'
_symmetry_Int_Tables_number 65
_symmetry_space_group_name_Hall '-C 2 2'
_cell_length_a 7.033
_cell_length_b 9.255
_cell_length_c 4.678
_cell_angle_alpha 90.00
_cell_angle_beta 90.00
_cell_angle_gamma 90.00
loop_
_atom_site_label
_atom_site_type_symbol
_atom_site_fract_x
_atom_site_fract_y
_atom_site_fract_z
Hg1 Hg 0.000 0.000 0.000
Hg2 Hg 0.000 0.209 0.500
Hg3 Hg 0.250 0.250 0.000
Os1 Os 0.000 0.500 0.000
Os2 Os 0.180 0.500 0.500
# energy of formation	0.87	eV/atom
# crystal system	orthorhombic
# E above lowest polymorph	0	meV/atom
# raw total energy	-56.46	eV/cell


# CrReOs2 (PBE, optimized geometry)
data_CrReOs2
_symmetry_space_group_name_H-M 'R 3 m'
_symmetry_Int_Tables_number 160
_symmetry_space_group_name_Hall 'R 3 -2"'
_cell_length_a 2.7145
_cell_length_b 2.7145
_cell_length_c 26.4723
_cell_angle_alpha 90.00
_cell_angle_beta 90.00
_cell_angle_gamma 120.00
loop_
_atom_site_label
_atom_site_type_symbol
_atom_site_fract_x
_atom_site_fract_y
_atom_site_fract_z
Cr1 Cr 0.0000 0.0000 0.0000
Re1 Re 0.0000 0.0000 0.2493
Os1 Os 0.0000 0.0000 0.4992
Os2 Os 0.0000 0.0000 0.7437
# energy of formation	0.15	eV/atom
# crystal system	trigonal
# E above lowest polymorph	71	meV/atom
# raw total energy	-131.85	eV/cell